Material: Tc2As
Method: DFT, PBEsol
State: optimized geometry

CIF file:
```
data_Tc2As
_space_group_name_H-M_alt 'I 4/m m m'
_space_group_IT_number 139
_space_group_name_Hall '-I 4 2'
_cell_length_a 2.939
_cell_length_b 2.939
_cell_length_c 9.643
_cell_angle_alpha 90.00
_cell_angle_beta 90.00
_cell_angle_gamma 90.00
loop_
_atom_site_label
_atom_site_type_symbol
_atom_site_fract_x
_atom_site_fract_y
_atom_site_fract_z
Tc1 Tc 0.000 0.000 0.161
As1 As 0.000 0.000 0.500
```

Calculated values
energy above the most stable polymorph in this dataset	0.0119	eV per atom